(1)
VASP calculation (PBE) on a geometry-optimized Li2LaHo2Si2 structure.

The structure in extended XYZ format:
```
7
Lattice="2.260 1.305 8.913 -2.260 1.305 8.913 0.000 -2.610 8.913" Properties=species:S:1:pos:R:3 pbc="T T T"
Li 0.000 0.000 2.381
Li 0.000 0.000 24.358
La 0.000 0.000 13.369
Ho 0.000 0.000 9.904
Ho 0.000 0.000 16.835
Si 0.000 0.000 6.537
Si 0.000 0.000 20.202
```

Properties
The value obtained for the uncorrected formation energy is -0.4090 eV/atom. As for the crystal system: trigonal.

***

(2)
VASP calculation (PBE) on a geometry-optimized In2SiB2 structure.

The structure in extended XYZ format:
```
5
Lattice="-2.124 2.124 4.561 2.124 -2.124 4.561 2.124 2.124 -4.561" Properties=species:S:1:pos:R:3 pbc="T T T"
In 2.124 0.000 2.281
In 0.000 2.124 2.281
Si 0.000 0.000 0.000
B 0.000 0.000 3.737
B 0.000 0.000 5.385
```

Properties
The value obtained for the distance to the lowest polymorph of the same formula is 145 meV/atom. The value obtained for the uncorrected formation energy is 0.9684 eV/atom. As for the crystal system: tetragonal.

***

(3)
VASP calculation (PBE) on a geometry-optimized CePr2As structure.

The structure in extended XYZ format:
```
4
Lattice="1.999 1.154 9.582 -1.999 1.154 9.582 0.000 -2.309 9.582" Properties=species:S:1:pos:R:3 pbc="T T T"
Ce 0.000 0.000 0.000
Pr 0.000 0.000 6.608
Pr 0.000 0.000 22.138
As 0.000 0.000 14.373
```

Properties
As for the energy of formation from the pure elements: -0.4889 eV/atom. As for the crystal system: trigonal.

***

(4)
VASP calculation (PBE) on a geometry-optimized Tm6C2Se3S structure.

The structure in extended XYZ format:
```
12
Lattice="8.454 -1.879 0.000 8.454 1.879 0.000 -2.065 0.000 7.577" Properties=species:S:1:pos:R:3 pbc="T T T"
Tm -0.172 0.000 1.927
Tm 4.525 0.000 3.359
Tm 3.775 0.000 6.616
Tm 11.068 0.000 0.961
Tm 10.318 0.000 4.219
Tm 15.015 0.000 5.651
C 2.161 0.000 2.532
C 12.682 0.000 5.046
Se 0.993 0.000 6.318
Se 7.422 0.000 3.789
Se 13.851 0.000 1.260
S 8.454 0.000 0.000
```

Properties
The value obtained for the uncorrected formation energy is -1.4489 eV/atom. As for the crystal system: monoclinic.